DFT (PBE) results for a geometry-optimized Ti2AlBiTe structure.

```
data_Ti2AlBiTe
_chemical_formula_sum 'Ti2 Al1 Bi1 Te1'
_cell_length_a 5.0941
_cell_length_b 5.0941
_cell_length_c 5.1521
_cell_angle_alpha 90.00
_cell_angle_beta 90.00
_cell_angle_gamma 90.00
_symmetry_space_group_name_H-M 'P 4/m m m'
_symmetry_Int_Tables_number 123
_symmetry_space_group_name_Hall '-P 4 2'
loop_
_atom_site_label
_atom_site_type_symbol
_atom_site_fract_x
_atom_site_fract_y
_atom_site_fract_z
Ti1 Ti 0.0000 0.5000 0.0000
Al1 Al 0.0000 0.0000 0.0000
Bi1 Bi 0.0000 0.0000 0.5000
Te1 Te 0.5000 0.5000 0.5000
```

DFT total energy	-4.628	eV/atom
total magnetic moment	3.4	Bohr magnetons per cell